Record 1
NaBeCl3 | PBE | optimized geometry

For the relative energy among the computed polymorphs, the calculation gives 362 meV/atom. Its formation energy without anion corrections is -1222 meV/atom.

It has space group Pm-3m (No. 221), with a = 4.5968 Å, b = 4.5968 Å, c = 4.5968 Å, α = 90.00°, β = 90.00° and γ = 90.00°. Symmetry generates all atoms from Na at (0.0000, 0.0000, 0.0000), Be at (0.5000, 0.5000, 0.5000) and Cl at (0.0000, 0.5000, 0.5000).

Record 2
Ti3MnS | PBE | optimized geometry

For the relative energy among the computed polymorphs, the calculation gives 0 meV/atom. Its formation energy without anion corrections is -224 meV/atom.

It has space group Pm-3m (No. 221), with a = 4.4687 Å, b = 4.4687 Å, c = 4.4687 Å, α = 90.00°, β = 90.00° and γ = 90.00°. Symmetry generates all atoms from Ti at (0.0000, 0.0000, 0.5000), Mn at (0.5000, 0.5000, 0.5000) and S at (0.0000, 0.0000, 0.0000).

Record 3
Re4Ge7 | PBE | optimized geometry

Its energy of formation is 0.026 eV per atom.

It has space group P-4c2 (No. 116), with a = 5.9938 Å, b = 5.9938 Å, c = 19.1304 Å, α = 90.00°, β = 90.00° and γ = 90.00°. Symmetry generates all atoms from Re at (0.0000, 0.0000, 0.0000), Re at (0.0000, 0.0000, 0.2500), Re at (0.0000, 0.5000, 0.0645), Re at (0.0000, 0.5000, 0.3059), Re at (0.5000, 0.5000, 0.1299), Ge at (0.1492, 0.2041, 0.3879), Ge at (0.1524, 0.3220, 0.6819), Ge at (0.2360, 0.3476, 0.9627) and Ge at (0.3384, 0.3384, 0.2500).

Record 4
LiZr3Ga | PBE | optimized geometry

Its energy of formation is 0.511 eV per atom. For the relative energy among the computed polymorphs, the calculation gives 0 meV/atom.

It has space group Pm-3m (No. 221), with a = 4.6906 Å, b = 4.6906 Å, c = 4.6906 Å, α = 90.00°, β = 90.00° and γ = 90.00°. Symmetry generates all atoms from Li at (0.0000, 0.0000, 0.0000), Zr at (0.0000, 0.0000, 0.5000) and Ga at (0.5000, 0.5000, 0.5000).

Record 5
CeGa2Ni4 | PBE | optimized geometry

Its energy of formation is 0.091 eV per atom.

It has space group I4/mmm (No. 139), with a = 6.9819 Å, b = 6.9819 Å, c = 5.3218 Å, α = 90.00°, β = 90.00° and γ = 90.00°. Symmetry generates all atoms from Ce at (0.0000, 0.0000, 0.0000), Ga at (0.0000, 0.5000, 0.2500) and Ni at (0.0000, 0.2264, 0.5000).

Record 6
TaMnH3 | PBE | optimized geometry

It has space group I4mm (No. 107), with a = 3.0110 Å, b = 3.0110 Å, c = 8.4289 Å, α = 90.00°, β = 90.00° and γ = 90.00°. Symmetry generates all atoms from Ta at (0.0000, 0.0000, 0.0000), Mn at (0.0000, 0.0000, 0.6957), H at (0.0000, 0.0000, 0.4994) and H at (0.0000, 0.5000, 0.3209).

Record 7
SbOs2Br | PBE | optimized geometry

For the relative energy among the computed polymorphs, the calculation gives 838 meV/atom. Its formation energy without anion corrections is 1264 meV/atom.

It has space group Cmmm (No. 65), with a = 6.5576 Å, b = 6.5735 Å, c = 3.2033 Å, α = 90.00°, β = 90.00° and γ = 90.00°. Symmetry generates all atoms from Sb at (0.0000, 0.0000, 0.0000), Os at (0.2500, 0.2500, 0.5000) and Br at (0.0000, 0.5000, 0.0000).

Record 8
Re2Bi2F | PBE | optimized geometry

For the relative energy among the computed polymorphs, the calculation gives 326 meV/atom. Its formation energy without anion corrections is 603 meV/atom.

It has space group P4/mbm (No. 127), with a = 8.4758 Å, b = 8.4758 Å, c = 3.1125 Å, α = 90.00°, β = 90.00° and γ = 90.00°. Symmetry generates all atoms from Re at (0.0944, 0.4056, 0.0000), Bi at (0.1869, 0.6869, 0.5000) and F at (0.0000, 0.0000, 0.0000).

Record 9
Li2ErAg | PBE | optimized geometry

Its energy of formation is -0.041 eV per atom. For the relative energy among the computed polymorphs, the calculation gives 0 meV/atom.

It has space group R3m (No. 160, hexagonal axes), with a = 4.8681 Å, b = 4.8681 Å, c = 12.1174 Å, α = 90.00°, β = 90.00° and γ = 120.00°. Symmetry generates all atoms from Li at (0.0000, 0.0000, 0.0000), Li at (0.0000, 0.0000, 0.2529), Er at (0.0000, 0.0000, 0.4995) and Ag at (0.0000, 0.0000, 0.7472).

Record 10
Nb4Co4Si7 | PBE | optimized geometry

Its formation energy without anion corrections is -695 meV/atom.

It has space group I4/mmm (No. 139), with a = 12.5738 Å, b = 12.5738 Å, c = 4.9975 Å, α = 90.00°, β = 90.00° and γ = 90.00°. Symmetry generates all atoms from Nb at (0.0000, 0.1911, 0.0000), Nb at (0.1341, 0.1341, 0.5000), Co at (0.1487, 0.3513, 0.2500), Si at (0.0000, 0.0000, 0.2509), Si at (0.0000, 0.2968, 0.5000), Si at (0.0000, 0.4057, 0.0000) and Si at (0.2085, 0.2085, 0.0000).

Record 11
Nd2Al9Co3 | PBE | optimized geometry

Its energy of formation is -0.524 eV per atom. For the relative energy among the computed polymorphs, the calculation gives 0 meV/atom.

It has space group Cmcm (No. 63), with a = 12.8577 Å, b = 7.5457 Å, c = 9.4764 Å, α = 90.00°, β = 90.00° and γ = 90.00°. Symmetry generates all atoms from Nd at (0.1610, 0.1677, 0.2500), Al at (0.0000, 0.1279, 0.7500), Al at (0.0000, 0.3332, 0.0379), Al at (0.1060, 0.4441, 0.7500), Al at (0.1676, 0.1675, 0.5698), Co at (0.0000, 0.0000, 0.0000) and Co at (0.1699, 0.5000, 0.0000).

Record 12
MgCo2Tc2 | PBE | optimized geometry

Its energy of formation is 0.152 eV per atom. For the relative energy among the computed polymorphs, the calculation gives 0 meV/atom.

It has space group P4/mbm (No. 127), with a = 7.2121 Å, b = 7.2121 Å, c = 2.6448 Å, α = 90.00°, β = 90.00° and γ = 90.00°. Symmetry generates all atoms from Mg at (0.0000, 0.0000, 0.0000), Co at (0.1185, 0.3815, 0.0000) and Tc at (0.1743, 0.6743, 0.5000).

Computed calculated volume, in the same sequence as the records: 19.43; 17.85; 15.62; 20.64; 18.53; 7.64; 17.26; 22.36; 20.72; 13.17; 16.42; 13.76 A^3/atom.
Computed energy, in the same sequence as the records: -3.339; -7.620; -7.439; -5.606; -4.925; -6.159; -5.800; -6.303; -2.852; -7.806; -5.134; -7.155 eV per atom.